1.
This record from the Alexandria database describes a PBEsol-optimized structure of NaZrTeAu2. The functional is meta-GGA SCAN.

Properties
VASP energy	-41.740	eV per atom
calculated volume	142.8	Å³ per cell

Cell: 5.208 5.208 5.266 Å, 90.00 90.00 90.00°
Sites, in units of the cell vectors:
Na: 0.500 0.500 0.500
Zr: 0.000 0.000 0.500
Au: 0.500 0.000 0.000
Te: 0.000 0.000 0.000
Au: 0.000 0.500 0.000

---

2.
This record from the Alexandria database describes a PBEsol-optimized structure of KAlO2. The functional is meta-GGA SCAN.

Properties
VASP energy	-9.912	eV per atom
calculated volume	128.4	Å³ per cell

Cell: 5.663 5.663 5.663 Å, 60.00 60.00 60.00°
Sites, in units of the cell vectors:
K: 0.750 0.750 0.750
O: 0.125 0.125 0.625
K: 0.500 0.500 0.500
Al: 0.000 0.000 0.000
Al: 0.250 0.250 0.250
O: 0.625 0.125 0.125
O: 0.125 0.125 0.125
O: 0.125 0.625 0.125

---

3.
This record from the Alexandria database describes a PBEsol-optimized structure of BaSrNbPt2. The functional is meta-GGA SCAN.

Properties
VASP energy	-46.992	eV per atom
calculated volume	135.2	Å³ per cell
energy relative to the elements	0.08	eV/atom

Cell: 5.047 5.047 5.310 Å, 90.00 90.00 90.00°
Sites, in units of the cell vectors:
Pt: 0.500 0.000 0.000
Pt: 0.000 0.500 0.000
Sr: 0.000 0.000 0.500
Ba: 0.500 0.500 0.500
Nb: 0.000 0.000 0.000

---

4.
This record from the Alexandria database describes a PBEsol-optimized structure of La2H2Ir. The functional is meta-GGA SCAN.

Properties
VASP energy	-33.577	eV per atom
calculated volume	86.2	Å³ per cell
relative energy among the computed polymorphs	0.0000	eV/atom

Cell: 3.611 3.611 7.082 Å, 104.77 104.77 90.00°
Sites, in units of the cell vectors:
H: 0.250 0.750 0.500
H: 0.750 0.250 0.500
La: 0.630 0.630 0.260
Ir: 0.000 0.000 0.000
La: 0.370 0.370 0.740